Version i
LiSi2Mo | PBE-GGA | optimized geometry

Structure (POSCAR):
```
LiSi2Mo
1.0
2.648 0.000 0.000
0.000 2.648 0.000
0.000 0.000 8.328
Li Si Mo
1 2 1
Cartesian
0.000 0.000 0.000
0.000 0.000 4.241
1.324 1.324 6.346
1.324 1.324 2.307
```

Magnetic moment ... 0.0 μB/cell
N(E_F) ... 1.40 states/eV/cell
Crystal system ... tetragonal

=====

Version ii
LiSi2Mo | PBE-GGA | optimized geometry

Structure (POSCAR):
```
LiSi2Mo
1.0
4.837 -1.356 0.000
4.837 1.356 0.000
-0.503 0.000 4.387
Li Si Mo
1 2 1
Cartesian
0.000 0.000 0.000
5.179 0.000 2.231
6.698 0.000 4.022
2.665 0.000 1.810
```

Magnetic moment ... 0.0 μB/cell
N(E_F) ... 2.75 states/eV/cell
Crystal system ... monoclinic

=====

Version iii
LiSi2Mo | PBE-GGA | optimized geometry

Structure (POSCAR):
```
LiSi2Mo
1.0
1.464 0.845 8.282
-1.464 0.845 8.282
0.000 -1.691 8.282
Li Si Mo
1 2 1
Cartesian
0.000 0.000 0.000
0.000 0.000 6.113
0.000 0.000 18.733
0.000 0.000 12.423
```

Magnetic moment ... 0.1 μB/cell
N(E_F) ... 2.52 states/eV/cell
Crystal system ... trigonal

=====

Most stable one: version ii, least stable one: version i.

=====

Version i
Li2Si2Mo | PBE-GGA | optimized geometry

Structure (POSCAR):
```
Li2Si2Mo
1.0
-1.675 1.675 6.142
1.675 -1.675 6.142
1.675 1.675 -6.142
Li Si Mo
2 2 1
Cartesian
1.675 0.000 3.071
0.000 1.675 3.071
0.000 0.000 1.190
0.000 0.000 11.095
0.000 0.000 6.142
```

Magnetic moment ... 0.0 μB/cell
N(E_F) ... 1.85 states/eV/cell
Crystal system ... tetragonal

=====

Version ii
Li2Si2Mo | PBE-GGA | optimized geometry

Structure (POSCAR):
```
Li2Si2Mo
1.0
6.833 0.000 0.000
0.000 6.833 0.000
0.000 0.000 2.863
Li Si Mo
4 4 2
Cartesian
1.078 2.339 0.000
2.339 5.755 0.000
4.494 1.078 0.000
5.755 4.494 0.000
0.962 4.379 1.432
2.454 0.962 1.432
4.379 5.871 1.432
5.871 2.454 1.432
0.000 0.000 1.432
3.416 3.416 1.432
```

Magnetic moment ... 0.0 μB/cell
N(E_F) ... 3.84 states/eV/cell
Crystal system ... tetragonal

=====

Most stable one: version i, least stable one: version ii.

=====

Version i
LiSi2Mo2 | PBE-GGA | optimized geometry

Structure (POSCAR):
```
LiSi2Mo2
1.0
6.504 0.000 0.000
0.000 6.504 0.000
0.000 0.000 3.332
Li Si Mo
2 4 4
Cartesian
0.000 0.000 0.000
3.252 3.252 0.000
0.863 2.389 0.000
2.389 5.641 0.000
4.114 0.863 0.000
5.641 4.114 0.000
1.078 4.330 1.666
2.173 1.078 1.666
4.330 5.425 1.666
5.425 2.173 1.666
```

Magnetic moment ... 0.0 μB/cell
N(E_F) ... 7.50 states/eV/cell
Crystal system ... tetragonal

=====

Version ii
LiSi2Mo2 | PBE-GGA | optimized geometry

Structure (POSCAR):
```
LiSi2Mo2
1.0
6.697 0.000 0.000
0.000 6.697 0.000
0.000 0.000 3.265
Li Si Mo
2 4 4
Cartesian
0.000 0.000 0.000
3.349 3.349 0.000
0.918 2.431 1.633
2.431 5.780 1.633
4.266 0.918 1.633
5.780 4.266 1.633
1.066 4.415 0.000
2.283 1.066 0.000
4.415 5.631 0.000
5.631 2.283 0.000
```

Magnetic moment ... 0.0 μB/cell
N(E_F) ... 6.18 states/eV/cell
Crystal system ... tetragonal

=====

Most stable one: version i, least stable one: version ii.

=====

Version i
LiSiMo3 | PBE-GGA | optimized geometry

Structure (POSCAR):
```
LiSiMo3
1.0
4.186 0.000 0.000
0.000 4.186 0.000
0.000 0.000 4.186
Li Si Mo
1 1 3
Cartesian
0.000 0.000 0.000
2.093 2.093 2.093
0.000 0.000 2.093
0.000 2.093 0.000
2.093 0.000 0.000
```

Magnetic moment ... 0.0 μB/cell
N(E_F) ... 6.13 states/eV/cell
Crystal system ... cubic

=====

Version ii
LiSiMo3 | PBE-GGA | optimized geometry

Structure (POSCAR):
```
LiSiMo3
1.0
4.547 0.000 0.000
0.000 4.547 0.000
0.000 0.000 4.547
Li Si Mo
1 1 3
Cartesian
0.000 0.000 0.000
2.274 2.274 2.274
0.000 2.274 2.274
2.274 0.000 2.274
2.274 2.274 0.000
```

Magnetic moment ... 0.0 μB/cell
N(E_F) ... 7.45 states/eV/cell
Crystal system ... cubic

=====

Most stable one: version ii, least stable one: version i.